First-principles (PBEsol) data for a relaxed structure of PRhF3, as listed in Alexandria.

As for the formation energy from raw total energies: -0.284 eV per atom. For the density of states at the Fermi level, the calculation gives 6.81 states/eV/f.u. As for the total magnetization: 0.36 μB per atom.

The structure belongs to space group Pm-3m (No. 221); the cell edges are 4.111, 4.111 and 4.111 Å and the angles 90.00°, 90.00° and 90.00°. The distinct sites, in fractional coordinates, are P at (0.000, 0.000, 0.000), Rh at (0.500, 0.500, 0.500) and F at (0.000, 0.500, 0.500).